# 1
# PrNi2PN

An optimized crystal structure of PrNi2PN (GGA-PBE, Alexandria via LeMat-Bulk).

Calculated values
ΔE_f (raw) = -0.82 eV per atom
SG = Cmcm (63)

Unit cell a=3.6122 b=5.8594 c=6.7781 alpha=90.00 beta=90.00 gamma=107.95
With the nearest neighbours (Å) after each atom.
Positions (direct):
P1 0.2689 0.5378 0.2500  6 Ni 2.32-2.33
P2 0.7311 0.4622 0.7500  6 Ni 2.32-2.33
N1 0.0000 0.0000 0.5000  2 Ni 1.98
N2 0.0000 0.0000 0.0000  2 Ni 1.98
Pr1 0.5410 0.0820 0.2500  4 N 2.52
Pr2 0.4590 0.9180 0.7500  4 N 2.52
Ni1 0.1741 0.3483 0.5558  1 N 1.98
Ni2 0.8259 0.6517 0.0558  1 N 1.98
Ni3 0.8259 0.6517 0.4442  1 N 1.98
Ni4 0.1741 0.3483 0.9442  1 N 1.98


# 2
# NiPRuN2

An optimized crystal structure of NiPRuN2 (GGA-PBE, Alexandria via LeMat-Bulk).

Calculated values
ΔE_f (raw) = 1.32 eV per atom
SG = P4/mmm (123)

Unit cell a=3.4880 b=4.4961 c=3.4880 alpha=90.00 beta=90.00 gamma=90.00
With the nearest neighbours (Å) after each atom.
Positions (direct):
Ru1 0.5000 0.5000 0.5000  4 Ni 2.47
Ni1 0.0000 0.5000 0.0000  2 P 2.25, 4 Ru 2.47
P1 0.0000 0.0000 0.0000  4 N 1.74
N1 0.0000 0.0000 0.5000  2 P 1.74
N2 0.5000 0.0000 0.0000  2 P 1.74


# 3
# NiP2SN

An optimized crystal structure of NiP2SN (GGA-PBE, Alexandria via LeMat-Bulk).

Calculated values
ΔE_f (raw) = 1.04 eV per atom
SG = P4/mmm (123)
energy above the lowest structure with this stoichiometry = 0 meV per atom

Unit cell a=3.9413 b=3.9413 c=4.1501 alpha=90.00 beta=90.00 gamma=90.00
With the nearest neighbours (Å) after each atom.
Positions (direct):
S1 0.0000 0.0000 0.5000  2 N 2.08
N1 0.0000 0.0000 0.0000  4 P 1.97, 2 S 2.08
Ni1 0.5000 0.5000 0.5000  4 S 2.79, 8 P 2.86
P1 0.5000 0.0000 0.0000  2 N 1.97
P2 0.0000 0.5000 0.0000  2 N 1.97


# 4
# NiPS2N

An optimized crystal structure of NiPS2N (GGA-PBE, Alexandria via LeMat-Bulk).

Calculated values
ΔE_f (raw) = 1.67 eV per atom
SG = P4/mmm (123)
energy above the lowest structure with this stoichiometry = 956 meV per atom

Unit cell a=4.3351 b=4.3351 c=4.3382 alpha=90.00 beta=90.00 gamma=90.00
With the nearest neighbours (Å) after each atom.
Positions (direct):
Ni1 0.0000 0.0000 0.0000  4 S 2.17, 2 P 2.17
S1 0.0000 0.5000 0.0000  2 Ni 2.17
S2 0.5000 0.0000 0.0000  2 Ni 2.17
P1 0.0000 0.0000 0.5000  2 Ni 2.17
N1 0.5000 0.5000 0.5000  4 P 3.07, 8 S 3.07